# NdSm4Tc

An optimized crystal structure of NdSm4Tc (PBE, Alexandria).

```
NdSm4Tc
1.0
5.667 -0.031 -1.987
-1.017 7.071 -3.010
0.114 -0.163 9.560
Nd Sm Tc
2 8 2
Direct
0.188 0.198 0.395
0.812 0.802 0.605
0.823 0.328 0.657
0.621 0.355 0.238
0.000 0.216 0.000
0.379 0.117 0.762
0.177 0.672 0.343
0.379 0.645 0.762
0.000 0.784 0.000
0.621 0.883 0.238
0.669 0.478 0.955
0.331 0.522 0.045
```

## Properties
Energy of formation: 0.4 eV/f.u.
Fermi-level density of states: 15.6 states/eV/cell
Space group: C2/m, No. 12

# Sc2ZnSb

An optimized crystal structure of Sc2ZnSb (PBE, Alexandria).

```
Sc2ZnSb
1.0
5.799 0.004 0.000
2.873 5.037 0.000
-4.336 -2.520 2.911
Sb Sc Zn
1 2 1
Direct
0.750 0.250 0.500
0.000 0.000 0.000
0.250 0.750 0.500
0.500 0.500 0.000
```

## Properties
Polymorph energy (0 for the lowest one): 76.3 meV/atom
Fermi-level density of states: 3.3 states/eV/cell
Space group: I-4m2, No. 119
Formation energy without anion corrections: -533.7 meV per atom